SmDy2Rh2 | PBE-GGA | relaxed

a = 3.876 Å, b = 16.996 Å, c = 7.460 Å
α = 90.00°, β = 90.00°, γ = 90.00°
Space group Cmc2_1 (No. 36)
One atom of each set of equivalent atoms:
Sm1 0.000 0.125 0.000
Dy1 0.000 0.314 0.112
Dy2 0.000 0.469 0.833
Rh1 0.000 0.052 0.632
Rh2 0.000 0.303 0.724

Calculated values
The value obtained for the formation energy is -588.4 meV/atom. The energy comes out at -126.27 eV per cell. As for the crystal system: orthorhombic. The total moment comes out at 0.00 μB per atom. The calculation puts the theoretical density at 9.2 g cm⁻³.